# 1
# YCoOs2 (PBE-GGA, optimized geometry)
data_YCoOs2
_symmetry_space_group_name_H-M 'P 1'
_symmetry_Int_Tables_number 1
_symmetry_space_group_name_Hall 'P 1'
_cell_length_a 4.482
_cell_length_b 2.917
_cell_length_c 5.102
_cell_angle_alpha 78.71
_cell_angle_beta 90.00
_cell_angle_gamma 90.00
loop_
_atom_site_label
_atom_site_fract_x
_atom_site_fract_y
_atom_site_fract_z
Os1 0.000 0.578 0.534
Os2 0.000 0.922 0.966
Y1 0.500 0.250 0.250
Co1 0.500 0.750 0.750
# Crystal system: monoclinic
# ΔE_f: 348 meV/atom

***

# 2
# YCo2Os2 (PBE-GGA, optimized geometry)
data_YCo2Os2
_symmetry_space_group_name_H-M 'P 1'
_symmetry_Int_Tables_number 1
_symmetry_space_group_name_Hall 'P 1'
_cell_length_a 4.071
_cell_length_b 4.071
_cell_length_c 5.797
_cell_angle_alpha 69.44
_cell_angle_beta 69.44
_cell_angle_gamma 90.00
loop_
_atom_site_label
_atom_site_fract_x
_atom_site_fract_y
_atom_site_fract_z
Os1 0.617 0.617 0.766
Os2 0.383 0.383 0.234
Co1 0.250 0.750 0.500
Co2 0.750 0.250 0.500
Y1 0.000 0.000 0.000
# Crystal system: tetragonal
# ΔE_f: 63 meV/atom

***

# 3
# YCo4Os (PBE-GGA, optimized geometry)
data_YCo4Os
_symmetry_space_group_name_H-M 'P 1'
_symmetry_Int_Tables_number 1
_symmetry_space_group_name_Hall 'P 1'
_cell_length_a 4.890
_cell_length_b 4.890
_cell_length_c 4.890
_cell_angle_alpha 60.00
_cell_angle_beta 60.00
_cell_angle_gamma 60.00
loop_
_atom_site_label
_atom_site_fract_x
_atom_site_fract_y
_atom_site_fract_z
Co1 0.375 0.375 0.875
Co2 0.375 0.875 0.375
Co3 0.875 0.375 0.375
Co4 0.375 0.375 0.375
Y1 0.000 0.000 0.000
Os1 0.750 0.750 0.750
# Crystal system: cubic
# ΔE_f: 53 meV/atom

***

# 4
# Y2Co2Os (PBE-GGA, optimized geometry)
data_Y2Co2Os
_symmetry_space_group_name_H-M 'P 1'
_symmetry_Int_Tables_number 1
_symmetry_space_group_name_Hall 'P 1'
_cell_length_a 3.350
_cell_length_b 3.350
_cell_length_c 8.756
_cell_angle_alpha 78.97
_cell_angle_beta 78.97
_cell_angle_gamma 90.00
loop_
_atom_site_label
_atom_site_fract_x
_atom_site_fract_y
_atom_site_fract_z
Os1 0.000 0.000 0.000
Co1 0.250 0.750 0.500
Co2 0.750 0.250 0.500
Y1 0.602 0.602 0.797
Y2 0.398 0.398 0.203
# Crystal system: tetragonal
# ΔE_f: 51 meV/atom

***

# 5
# YCo2Os (PBE-GGA, optimized geometry)
data_YCo2Os
_symmetry_space_group_name_H-M 'P 1'
_symmetry_Int_Tables_number 1
_symmetry_space_group_name_Hall 'P 1'
_cell_length_a 5.364
_cell_length_b 5.364
_cell_length_c 5.364
_cell_angle_alpha 148.57
_cell_angle_beta 130.20
_cell_angle_gamma 60.08
loop_
_atom_site_label
_atom_site_fract_x
_atom_site_fract_y
_atom_site_fract_z
Co1 0.755 0.255 0.500
Co2 0.971 0.971 0.000
Os1 0.528 0.528 0.000
Y1 0.246 0.746 0.500
# Crystal system: orthorhombic
# ΔE_f: 288 meV/atom

***

# 6
# YCoOs2 (PBE-GGA, optimized geometry)
data_YCoOs2
_symmetry_space_group_name_H-M 'P 1'
_symmetry_Int_Tables_number 1
_symmetry_space_group_name_Hall 'P 1'
_cell_length_a 5.457
_cell_length_b 5.457
_cell_length_c 5.457
_cell_angle_alpha 148.12
_cell_angle_beta 129.27
_cell_angle_gamma 61.17
loop_
_atom_site_label
_atom_site_fract_x
_atom_site_fract_y
_atom_site_fract_z
Os1 0.003 0.003 0.000
Os2 0.774 0.274 0.500
Co1 0.225 0.725 0.500
Y1 0.498 0.498 0.000
# Crystal system: orthorhombic
# ΔE_f: 395 meV/atom

***

# 7
# YCo2Os (PBE-GGA, optimized geometry)
data_YCo2Os
_symmetry_space_group_name_H-M 'P 1'
_symmetry_Int_Tables_number 1
_symmetry_space_group_name_Hall 'P 1'
_cell_length_a 3.156
_cell_length_b 4.389
_cell_length_c 4.389
_cell_angle_alpha 90.00
_cell_angle_beta 90.00
_cell_angle_gamma 90.00
loop_
_atom_site_label
_atom_site_fract_x
_atom_site_fract_y
_atom_site_fract_z
Os1 0.500 0.500 0.000
Co1 0.000 0.500 0.500
Co2 0.000 0.000 0.000
Y1 0.500 0.000 0.500
# Crystal system: tetragonal
# ΔE_f: 219 meV/atom

***

# 8
# Y2Co2Os (PBE-GGA, optimized geometry)
data_Y2Co2Os
_symmetry_space_group_name_H-M 'P 1'
_symmetry_Int_Tables_number 1
_symmetry_space_group_name_Hall 'P 1'
_cell_length_a 7.620
_cell_length_b 7.620
_cell_length_c 3.076
_cell_angle_alpha 90.00
_cell_angle_beta 90.00
_cell_angle_gamma 90.00
loop_
_atom_site_label
_atom_site_fract_x
_atom_site_fract_y
_atom_site_fract_z
Y1 0.656 0.156 0.000
Y2 0.844 0.656 0.000
Y3 0.156 0.344 0.000
Y4 0.344 0.844 0.000
Co1 0.149 0.649 0.500
Co2 0.649 0.851 0.500
Co3 0.351 0.149 0.500
Co4 0.851 0.351 0.500
Os1 0.500 0.500 0.000
Os2 0.000 0.000 0.000
# Crystal system: tetragonal
# ΔE_f: 593 meV/atom

***

# 9
# Y2Co2Os (PBE-GGA, optimized geometry)
data_Y2Co2Os
_symmetry_space_group_name_H-M 'P 1'
_symmetry_Int_Tables_number 1
_symmetry_space_group_name_Hall 'P 1'
_cell_length_a 6.444
_cell_length_b 6.444
_cell_length_c 4.321
_cell_angle_alpha 90.00
_cell_angle_beta 90.00
_cell_angle_gamma 90.00
loop_
_atom_site_label
_atom_site_fract_x
_atom_site_fract_y
_atom_site_fract_z
Y1 0.816 0.316 0.500
Y2 0.184 0.684 0.500
Y3 0.316 0.184 0.500
Y4 0.684 0.816 0.500
Os1 0.000 0.000 0.000
Os2 0.500 0.500 0.000
Co1 0.873 0.627 0.000
Co2 0.627 0.127 0.000
Co3 0.127 0.373 0.000
Co4 0.373 0.873 0.000
# Crystal system: tetragonal
# ΔE_f: -69 meV/atom

***

# 10
# YCo2Os (PBE-GGA, optimized geometry)
data_YCo2Os
_symmetry_space_group_name_H-M 'P 1'
_symmetry_Int_Tables_number 1
_symmetry_space_group_name_Hall 'P 1'
_cell_length_a 5.076
_cell_length_b 5.076
_cell_length_c 5.076
_cell_angle_alpha 135.84
_cell_angle_beta 135.84
_cell_angle_gamma 64.23
loop_
_atom_site_label
_atom_site_fract_x
_atom_site_fract_y
_atom_site_fract_z
Co1 0.000 0.000 0.000
Co2 0.250 0.750 0.500
Y1 0.750 0.250 0.500
Os1 0.500 0.500 0.000
# Crystal system: tetragonal
# ΔE_f: 373 meV/atom

***

# 11
# YCoOs2 (PBE-GGA, optimized geometry)
data_YCoOs2
_symmetry_space_group_name_H-M 'P 1'
_symmetry_Int_Tables_number 1
_symmetry_space_group_name_Hall 'P 1'
_cell_length_a 9.473
_cell_length_b 9.473
_cell_length_c 9.473
_cell_angle_alpha 16.99
_cell_angle_beta 16.99
_cell_angle_gamma 16.99
loop_
_atom_site_label
_atom_site_fract_x
_atom_site_fract_y
_atom_site_fract_z
Os1 0.012 0.012 0.012
Os2 0.488 0.488 0.488
Co1 0.750 0.750 0.750
Y1 0.250 0.250 0.250
# Crystal system: trigonal
# ΔE_f: 572 meV/atom

***

# 12
# YCo2Os (PBE-GGA, optimized geometry)
data_YCo2Os
_symmetry_space_group_name_H-M 'P 1'
_symmetry_Int_Tables_number 1
_symmetry_space_group_name_Hall 'P 1'
_cell_length_a 4.097
_cell_length_b 2.887
_cell_length_c 5.308
_cell_angle_alpha 74.23
_cell_angle_beta 90.00
_cell_angle_gamma 90.00
loop_
_atom_site_label
_atom_site_fract_x
_atom_site_fract_y
_atom_site_fract_z
Co1 0.000 0.181 0.012
Co2 0.500 0.048 0.281
Y1 0.500 0.788 0.797
Os1 0.000 0.483 0.410
# Crystal system: orthorhombic
# ΔE_f: 184 meV/atom

***

| no. | energy (eV/atom) | total moment (μB/f.u.) |
| --- | --- | --- |
| 1 | -8.6594 | 1.6 |
| 2 | -8.5638 | 2.6 |
| 3 | -7.6335 | 7.2 |
| 4 | -7.6229 | 2.8 |
| 5 | -7.6879 | 2.7 |
| 6 | -8.6124 | 1.8 |
| 7 | -7.7570 | 3.3 |
| 8 | -7.0807 | 0.0 |
| 9 | -7.7425 | 0.7 |
| 10 | -7.6030 | 3.6 |
| 11 | -8.4357 | 2.1 |
| 12 | -7.7919 | 0.6 |